This record from the Alexandria database describes an optimized crystal structure of YCd2Ir. The functional is PBE.

Calculated values
* Fermi-level density of states: 2.5 states/eV/cell
* energy of formation from the pure elements: -171 meV/atom
* total magnetic moment: 0.000 μB/atom
* ρ: 9.95 Mg/m³
* energy: -17.840 eV per cell

Unit cell a=4.9808 b=3.2318 c=5.3951 alpha=76.39 beta=90.00 gamma=90.00
Closest atoms and distances in Å follow each position.
Positions (direct):
Cd 0.0000 0.1060 0.0228  3 Cd 2.82-2.94, 2 Ir 2.86
Ir 0.5000 0.2500 0.2500  2 Y 2.80, 4 Cd 2.86
Cd 0.0000 0.3940 0.4772  3 Cd 2.82-2.94, 2 Ir 2.86
Y 0.5000 0.7500 0.7500  2 Ir 2.80

=====

This record from the Alexandria database describes an optimized crystal structure of YCd2Ir. The functional is PBE.

Calculated values
* Fermi-level density of states: 1.3 states/eV/cell
* energy of formation from the pure elements: -307 meV/atom
* total magnetic moment: 0.000 μB/atom
* ρ: 10.28 Mg/m³
* energy: -18.385 eV per cell

Unit cell a=5.4476 b=5.4476 c=5.4476 alpha=134.21 beta=134.21 gamma=66.76
Closest atoms and distances in Å follow each position.
Positions (direct):
Y 0.7500 0.2500 0.5000  4 Ir 3.00, 8 Cd 3.11
Ir 0.2500 0.7500 0.5000  4 Y 3.00, 8 Cd 3.11
Cd 0.5000 0.5000 0.0000  4 Cd 3.00, 4 Ir 3.11, 4 Y 3.11
Cd 0.0000 0.0000 0.0000  4 Cd 3.00, 4 Ir 3.11, 4 Y 3.11

=====

This record from the Alexandria database describes an optimized crystal structure of Y5CdIr. The functional is PBE.

Calculated values
* Fermi-level density of states: 15.6 states/eV/cell
* energy of formation from the pure elements: -262 meV/atom
* total magnetic moment: 0.000 μB/atom
* ρ: 6.26 Mg/m³
* energy: -87.858 eV per cell

Unit cell a=5.9638 b=5.9638 c=11.8755 alpha=77.92 beta=77.92 gamma=77.57
Closest atoms and distances in Å follow each position.
Positions (direct):
Y 0.5446 0.2087 0.0655  1 Ir 2.76
Y 0.4554 0.7913 0.9345  1 Ir 2.76
Y 0.4191 0.0830 0.3743  1 Ir 2.72
Y 0.7913 0.4554 0.4345  1 Ir 2.76
Y 0.5809 0.9170 0.6257  1 Ir 2.72
Y 0.2087 0.5446 0.5655  1 Ir 2.76
Y 0.0009 0.9991 0.2500  2 Ir 2.97, 1 Cd 3.05, 2 Y 3.32
Ir 0.0000 0.0000 0.5000  6 Y 2.72-2.97
Ir 0.0000 0.0000 0.0000  6 Y 2.72-2.97
Y 0.9170 0.5809 0.1257  1 Ir 2.72
Cd 0.5910 0.4090 0.7500  5 Y 3.05-3.35
Y 0.9991 0.0009 0.7500  2 Ir 2.97, 1 Cd 3.05, 2 Y 3.32
Cd 0.4090 0.5910 0.2500  5 Y 3.05-3.35
Y 0.0830 0.4191 0.8743  1 Ir 2.72

=====

This record from the Alexandria database describes an optimized crystal structure of YCd2Ir. The functional is PBE.

Calculated values
* Fermi-level density of states: 2.7 states/eV/cell
* energy of formation from the pure elements: -93 meV/atom
* total magnetic moment: 0.031 μB/atom
* ρ: 10.20 Mg/m³
* energy: -17.527 eV per cell

Unit cell a=3.1790 b=4.3561 c=5.9465 alpha=90.00 beta=90.00 gamma=90.00
Closest atoms and distances in Å follow each position.
Positions (direct):
Cd 0.0000 0.0000 0.4762  1 Cd 2.69, 4 Ir 3.01
Ir 0.5000 0.5000 0.2500  2 Y 2.97, 8 Cd 3.01, 2 Ir 3.18
Cd 0.0000 0.0000 0.0238  1 Cd 2.69, 4 Ir 3.01
Y 0.5000 0.5000 0.7500  2 Ir 2.97, 8 Cd 3.15, 2 Y 3.18